# 1
Here is a geometry-optimized Tm2GeN structure from the Alexandria database. Energies are from PBE.

Summary:
VASP energy ... -26.73 eV/cell
D(E_F) ... 1.07 states/eV/f.u.
Crystal system ... trigonal
Density ... 9.7 g/cm³

```
Tm2GeN
1.0
1.735 1.002 6.991
-1.735 1.002 6.991
0.000 -2.004 6.991
Tm Ge N
2 1 1
direct
0.230 0.230 0.230 Tm
0.770 0.770 0.770 Tm
0.000 0.000 0.000 Ge
0.500 0.500 0.500 N
```

---

# 2
Here is a geometry-optimized Tm3Ge5N12 structure from the Alexandria database. Energies are from PBE.

Summary:
VASP energy ... -546.17 eV/cell
D(E_F) ... 12.69 states/eV/f.u.
Crystal system ... cubic
Density ... 7.2 g/cm³

```
Tm3Ge5N12
1.0
-6.215 6.215 6.215
6.215 -6.215 6.215
6.215 6.215 -6.215
Tm Ge N
12 20 48
direct
0.125 0.250 0.375 Tm
0.125 0.375 0.750 Tm
0.250 0.375 0.125 Tm
0.250 0.875 0.625 Tm
0.375 0.125 0.250 Tm
0.375 0.750 0.125 Tm
0.625 0.250 0.875 Tm
0.625 0.875 0.750 Tm
0.750 0.125 0.375 Tm
0.750 0.625 0.875 Tm
0.875 0.625 0.250 Tm
0.875 0.750 0.625 Tm
0.000 0.000 0.000 Ge
0.000 0.000 0.500 Ge
0.000 0.500 0.000 Ge
0.000 0.500 0.500 Ge
0.125 0.750 0.875 Ge
0.125 0.875 0.250 Ge
0.250 0.125 0.875 Ge
0.250 0.625 0.375 Ge
0.375 0.250 0.625 Ge
0.375 0.625 0.750 Ge
0.500 0.000 0.000 Ge
0.500 0.000 0.500 Ge
0.500 0.500 0.000 Ge
0.500 0.500 0.500 Ge
0.625 0.375 0.250 Ge
0.625 0.750 0.375 Ge
0.750 0.375 0.625 Ge
0.750 0.875 0.125 Ge
0.875 0.125 0.750 Ge
0.875 0.250 0.125 Ge
0.027 0.206 0.118 N
0.027 0.321 0.908 N
0.088 0.706 0.679 N
0.088 0.882 0.408 N
0.092 0.618 0.412 N
0.092 0.973 0.679 N
0.118 0.027 0.206 N
0.118 0.592 0.912 N
0.179 0.206 0.588 N
0.179 0.473 0.592 N
0.206 0.118 0.027 N
0.206 0.588 0.179 N
0.294 0.321 0.912 N
0.294 0.473 0.382 N
0.321 0.908 0.027 N
0.321 0.912 0.294 N
0.382 0.294 0.473 N
0.382 0.588 0.908 N
0.408 0.088 0.882 N
0.408 0.821 0.527 N
0.412 0.092 0.618 N
0.412 0.821 0.794 N
0.473 0.382 0.294 N
0.473 0.592 0.179 N
0.527 0.408 0.821 N
0.527 0.618 0.706 N
0.588 0.179 0.206 N
0.588 0.908 0.382 N
0.592 0.179 0.473 N
0.592 0.912 0.118 N
0.618 0.412 0.092 N
0.618 0.706 0.527 N
0.679 0.088 0.706 N
0.679 0.092 0.973 N
0.706 0.527 0.618 N
0.706 0.679 0.088 N
0.794 0.412 0.821 N
0.794 0.882 0.973 N
0.821 0.527 0.408 N
0.821 0.794 0.412 N
0.882 0.408 0.088 N
0.882 0.973 0.794 N
0.908 0.027 0.321 N
0.908 0.382 0.588 N
0.912 0.118 0.592 N
0.912 0.294 0.321 N
0.973 0.679 0.092 N
0.973 0.794 0.882 N
```

---

# 3
Here is a geometry-optimized Tm4Ge2N structure from the Alexandria database. Energies are from PBE.

Summary:
VASP energy ... -41.69 eV/cell
D(E_F) ... 3.82 states/eV/f.u.
Crystal system ... monoclinic
E above lowest polymorph ... 0.118 eV per atom
Density ... 9.4 g/cm³

```
Tm4Ge2N
1.0
7.180 -1.838 0.000
7.180 1.838 0.000
-1.185 0.000 5.563
Tm Ge N
4 2 1
direct
0.070 0.070 0.271 Tm
0.364 0.364 0.165 Tm
0.636 0.636 0.835 Tm
0.930 0.930 0.729 Tm
0.266 0.266 0.656 Ge
0.734 0.734 0.344 Ge
0.500 0.500 0.000 N
```

---

# 4
Here is a geometry-optimized Tm12Ge3N5 structure from the Alexandria database. Energies are from PBE.

Summary:
VASP energy ... -518.69 eV/cell
D(E_F) ... 11.43 states/eV/f.u.
Crystal system ... cubic
Density ... 9.1 g/cm³

```
Tm12Ge3N5
1.0
-7.505 7.505 7.505
7.505 -7.505 7.505
7.505 7.505 -7.505
Tm Ge N
48 12 20
direct
0.019 0.203 0.115 Tm
0.019 0.316 0.904 Tm
0.087 0.703 0.684 Tm
0.087 0.885 0.404 Tm
0.096 0.615 0.413 Tm
0.096 0.981 0.684 Tm
0.115 0.019 0.203 Tm
0.115 0.596 0.913 Tm
0.184 0.203 0.587 Tm
0.184 0.481 0.596 Tm
0.203 0.115 0.019 Tm
0.203 0.587 0.184 Tm
0.297 0.316 0.913 Tm
0.297 0.481 0.385 Tm
0.316 0.904 0.019 Tm
0.316 0.913 0.297 Tm
0.385 0.297 0.481 Tm
0.385 0.587 0.904 Tm
0.404 0.087 0.885 Tm
0.404 0.816 0.519 Tm
0.413 0.096 0.615 Tm
0.413 0.816 0.797 Tm
0.481 0.385 0.297 Tm
0.481 0.596 0.184 Tm
0.519 0.404 0.816 Tm
0.519 0.615 0.703 Tm
0.587 0.184 0.203 Tm
0.587 0.904 0.385 Tm
0.596 0.184 0.481 Tm
0.596 0.913 0.115 Tm
0.615 0.413 0.096 Tm
0.615 0.703 0.519 Tm
0.684 0.087 0.703 Tm
0.684 0.096 0.981 Tm
0.703 0.519 0.615 Tm
0.703 0.684 0.087 Tm
0.797 0.413 0.816 Tm
0.797 0.885 0.981 Tm
0.816 0.519 0.404 Tm
0.816 0.797 0.413 Tm
0.885 0.404 0.087 Tm
0.885 0.981 0.797 Tm
0.904 0.019 0.316 Tm
0.904 0.385 0.587 Tm
0.913 0.115 0.596 Tm
0.913 0.297 0.316 Tm
0.981 0.684 0.096 Tm
0.981 0.797 0.885 Tm
0.125 0.250 0.375 Ge
0.125 0.375 0.750 Ge
0.250 0.375 0.125 Ge
0.250 0.875 0.625 Ge
0.375 0.125 0.250 Ge
0.375 0.750 0.125 Ge
0.625 0.250 0.875 Ge
0.625 0.875 0.750 Ge
0.750 0.125 0.375 Ge
0.750 0.625 0.875 Ge
0.875 0.625 0.250 Ge
0.875 0.750 0.625 Ge
0.000 0.000 0.000 N
0.000 0.000 0.500 N
0.000 0.500 0.000 N
0.000 0.500 0.500 N
0.125 0.750 0.875 N
0.125 0.875 0.250 N
0.250 0.125 0.875 N
0.250 0.625 0.375 N
0.375 0.250 0.625 N
0.375 0.625 0.750 N
0.500 0.000 0.000 N
0.500 0.000 0.500 N
0.500 0.500 0.000 N
0.500 0.500 0.500 N
0.625 0.375 0.250 N
0.625 0.750 0.375 N
0.750 0.375 0.625 N
0.750 0.875 0.125 N
0.875 0.125 0.750 N
0.875 0.250 0.125 N
```

---

# 5
Here is a geometry-optimized Tm4Ge2N structure from the Alexandria database. Energies are from PBE.

Summary:
VASP energy ... -42.51 eV/cell
D(E_F) ... 4.60 states/eV/f.u.
Crystal system ... tetragonal
E above lowest polymorph ... 0.000 eV per atom
Density ... 9.1 g/cm³

```
Tm4Ge2N
1.0
-2.256 2.256 7.514
2.256 -2.256 7.514
2.256 2.256 -7.514
Tm Ge N
4 2 1
direct
0.000 0.500 0.500 Tm
0.168 0.168 0.000 Tm
0.500 0.000 0.500 Tm
0.832 0.832 0.000 Tm
0.362 0.362 0.000 Ge
0.638 0.638 0.000 Ge
0.000 0.000 0.000 N
```

---

# 6
Here is a geometry-optimized UGeN2 structure from the Alexandria database. Energies are from PBE.

Summary:
VASP energy ... -32.03 eV/cell
D(E_F) ... 4.35 states/eV/f.u.
Crystal system ... trigonal
Density ... 10.4 g/cm³

```
UGeN2
1.0
1.569 0.906 6.359
-1.569 0.906 6.359
0.000 -1.812 6.359
U Ge N
1 1 2
direct
0.000 0.000 0.000 U
0.500 0.500 0.500 Ge
0.112 0.112 0.112 N
0.888 0.888 0.888 N
```

---

# 7
Here is a geometry-optimized U6Ge2N structure from the Alexandria database. Energies are from PBE.

Summary:
VASP energy ... -88.41 eV/cell
D(E_F) ... 18.78 states/eV/f.u.
Crystal system ... monoclinic
Density ... 15.6 g/cm³

```
U6Ge2N
1.0
5.398 -3.033 0.000
5.398 3.033 0.000
-3.024 0.000 5.157
U Ge N
6 2 1
direct
0.206 0.742 0.761 U
0.250 0.250 0.289 U
0.258 0.794 0.239 U
0.742 0.206 0.761 U
0.750 0.750 0.711 U
0.794 0.258 0.239 U
0.234 0.234 0.772 Ge
0.766 0.766 0.228 Ge
0.500 0.500 0.500 N
```

---

# 8
Here is a geometry-optimized UZnGeN structure from the Alexandria database. Energies are from PBE.

Summary:
VASP energy ... -56.87 eV/cell
D(E_F) ... 3.96 states/eV/f.u.
Crystal system ... tetragonal
Density ... 10.0 g/cm³

```
UZnGeN
1.0
3.901 0.000 0.000
0.000 3.901 0.000
0.000 0.000 8.489
U Zn Ge N
2 2 2 2
direct
0.250 0.250 0.136 U
0.750 0.750 0.864 U
0.250 0.750 0.500 Zn
0.750 0.250 0.500 Zn
0.250 0.250 0.698 Ge
0.750 0.750 0.302 Ge
0.250 0.750 0.000 N
0.750 0.250 0.000 N
```

---

# 9
Here is a geometry-optimized VGeN structure from the Alexandria database. Energies are from PBE.

Summary:
VASP energy ... -22.69 eV/cell
D(E_F) ... 1.68 states/eV/f.u.
Crystal system ... trigonal
E above lowest polymorph ... 0.349 eV per atom
Density ... 4.6 g/cm³

```
VGeN
1.0
2.938 0.000 0.000
-1.469 2.545 0.000
0.000 0.000 6.620
V Ge N
1 1 1
direct
0.000 0.000 0.000 V
0.667 0.333 0.349 Ge
0.333 0.667 0.885 N
```

---

# 10
Here is a geometry-optimized V2GeN structure from the Alexandria database. Energies are from PBE.

Summary:
VASP energy ... -33.92 eV/cell
D(E_F) ... 3.41 states/eV/f.u.
Crystal system ... monoclinic
Density ... 6.5 g/cm³

```
V2GeN
1.0
2.605 -1.463 0.000
2.605 1.463 0.000
-2.228 0.000 6.315
V Ge N
2 1 1
direct
0.238 0.238 0.165 V
0.762 0.762 0.835 V
0.000 0.000 0.500 Ge
0.500 0.500 0.000 N
```

---

# 11
Here is a geometry-optimized V12Ge6N structure from the Alexandria database. Energies are from PBE.

Summary:
VASP energy ... -147.46 eV/cell
D(E_F) ... 19.55 states/eV/f.u.
Crystal system ... trigonal
Density ... 6.3 g/cm³

```
V12Ge6N
1.0
5.186 2.994 2.997
-5.186 2.994 2.997
0.000 -5.989 2.997
V Ge N
12 6 1
direct
0.024 0.307 0.058 V
0.058 0.024 0.307 V
0.202 0.401 0.500 V
0.307 0.058 0.024 V
0.401 0.500 0.202 V
0.500 0.202 0.401 V
0.500 0.798 0.599 V
0.599 0.500 0.798 V
0.693 0.942 0.976 V
0.798 0.599 0.500 V
0.942 0.976 0.693 V
0.976 0.693 0.942 V
0.116 0.675 0.325 Ge
0.325 0.116 0.675 Ge
0.325 0.675 0.884 Ge
0.675 0.325 0.116 Ge
0.675 0.884 0.325 Ge
0.884 0.325 0.675 Ge
0.000 0.000 0.000 N
```

---

# 12
Here is a geometry-optimized V2GeN structure from the Alexandria database. Energies are from PBE.

Summary:
VASP energy ... -29.46 eV/cell
D(E_F) ... 2.46 states/eV/f.u.
Crystal system ... cubic
Density ... 6.6 g/cm³

```
V2GeN
1.0
0.000 2.880 2.880
2.880 0.000 2.880
2.880 2.880 0.000
V Ge N
2 1 1
direct
0.250 0.250 0.250 V
0.750 0.750 0.750 V
0.000 0.000 0.000 Ge
0.500 0.500 0.500 N
```

---

# 13
Here is a geometry-optimized VGe3N structure from the Alexandria database. Energies are from PBE.

Summary:
VASP energy ... -27.48 eV/cell
D(E_F) ... 6.58 states/eV/f.u.
Crystal system ... cubic
E above lowest polymorph ... 0.000 eV per atom
Density ... 6.0 g/cm³

```
VGe3N
1.0
4.271 0.000 0.000
0.000 4.271 0.000
0.000 0.000 4.271
V Ge N
1 3 1
direct
0.000 0.000 0.000 V
0.000 0.500 0.500 Ge
0.500 0.000 0.500 Ge
0.500 0.500 0.000 Ge
0.500 0.500 0.500 N
```

---

# 14
Here is a geometry-optimized VGeN structure from the Alexandria database. Energies are from PBE.

Summary:
VASP energy ... -23.01 eV/cell
D(E_F) ... 1.13 states/eV/f.u.
Crystal system ... monoclinic
E above lowest polymorph ... 0.242 eV per atom
Density ... 5.3 g/cm³

```
VGeN
1.0
1.928 -1.928 0.000
1.928 1.928 0.000
-1.900 0.000 5.785
V Ge N
1 1 1
direct
0.000 0.000 0.000 V
0.316 0.316 0.626 Ge
0.536 0.536 0.075 N
```

---

# 15
Here is a geometry-optimized VGeN structure from the Alexandria database. Energies are from PBE.

Summary:
VASP energy ... -23.17 eV/cell
D(E_F) ... 1.63 states/eV/f.u.
Crystal system ... orthorhombic
E above lowest polymorph ... 0.188 eV per atom
Density ... 5.5 g/cm³

```
VGeN
1.0
2.751 0.000 0.000
0.000 5.453 0.000
0.000 0.000 2.751
V Ge N
1 1 1
direct
0.000 0.000 0.000 V
0.000 0.500 0.995 Ge
0.500 0.000 0.500 N
```

---

# 16
Here is a geometry-optimized V6Ge2N structure from the Alexandria database. Energies are from PBE.

Summary:
VASP energy ... -142.82 eV/cell
D(E_F) ... 7.43 states/eV/f.u.
Crystal system ... tetragonal
Density ... 5.5 g/cm³

```
V6Ge2N
1.0
4.848 0.000 0.000
0.000 4.848 0.000
0.000 0.000 11.876
V Ge N
12 4 2
direct
0.191 0.191 0.114 V
0.191 0.191 0.886 V
0.200 0.200 0.500 V
0.300 0.700 0.000 V
0.309 0.691 0.386 V
0.309 0.691 0.614 V
0.691 0.309 0.386 V
0.691 0.309 0.614 V
0.700 0.300 0.000 V
0.800 0.800 0.500 V
0.809 0.809 0.114 V
0.809 0.809 0.886 V
0.000 0.000 0.301 Ge
0.000 0.000 0.699 Ge
0.500 0.500 0.199 Ge
0.500 0.500 0.801 Ge
0.000 0.000 0.000 N
0.500 0.500 0.500 N
```

---

# 17
Here is a geometry-optimized VGeN structure from the Alexandria database. Energies are from PBE.

Summary:
VASP energy ... -47.47 eV/cell
D(E_F) ... 1.40 states/eV/f.u.
Crystal system ... orthorhombic
E above lowest polymorph ... 0.000 eV per atom
Density ... 5.5 g/cm³

```
VGeN
1.0
1.502 -7.144 0.000
1.502 7.144 0.000
0.000 0.000 3.878
V Ge N
2 2 2
direct
0.210 0.790 0.750 V
0.790 0.210 0.250 V
0.446 0.554 0.250 Ge
0.554 0.446 0.750 Ge
0.201 0.799 0.250 N
0.799 0.201 0.750 N
```

---

# 18
Here is a geometry-optimized VGeN structure from the Alexandria database. Energies are from PBE.

Summary:
VASP energy ... -23.06 eV/cell
D(E_F) ... 1.27 states/eV/f.u.
Crystal system ... trigonal
E above lowest polymorph ... 0.223 eV per atom
Density ... 6.4 g/cm³

```
VGeN
1.0
2.889 0.000 0.000
-1.444 2.502 0.000
0.000 0.000 4.977
V Ge N
1 1 1
direct
0.000 0.000 0.000 V
0.667 0.333 0.399 Ge
0.667 0.333 0.773 N
```